DFT (GGA-PBE) results for a relaxed structure of PrSm4Se5.

The structure belongs to space group I4/mmm (No. 139); the cell edges are 4.187, 4.187 and 29.720 Å and the angles 90.00°, 90.00° and 90.00°. The inequivalent atoms are Pr at (0.000, 0.000, 0.000), Sm at (0.000, 0.000, 0.203), Sm at (0.000, 0.000, 0.402), Se at (0.000, 0.000, 0.102), Se at (0.000, 0.000, 0.302) and Se at (0.000, 0.000, 0.500).

The calculation puts the formation energy from raw total energies at -1.82 eV per atom. For the density of states at the Fermi level, the calculation gives 0.419 states/eV/atom.

---

DFT (GGA-PBE) results for a relaxed structure of LiLa2Pm.

The structure belongs to space group P4/mmm (No. 123); the cell edges are 3.716, 3.716 and 9.441 Å and the angles 90.00°, 90.00° and 90.00°. The inequivalent atoms are Li at (0.000, 0.000, 0.000), La at (0.500, 0.500, 0.230) and Pm at (0.000, 0.000, 0.500).

For the density of states at the Fermi level, the calculation gives 1.518 states/eV/atom. The value obtained for the energy of formation is 0.059 eV/atom.

---

DFT (GGA-PBE) results for a relaxed structure of TbSm3Dy3S8.

The structure belongs to space group R-3m (No. 166, hexagonal axes); the cell edges are 7.8781, 7.8781 and 19.4335 Å and the angles 90.00°, 90.00° and 120.00°. The inequivalent atoms are Tb at (0.0000, 0.0000, 0.0000), Sm at (0.0000, 0.5000, 0.5000), Dy at (0.0000, 0.5000, 0.0000), S at (0.0000, 0.0000, 0.2531) and S at (0.0032, 0.5016, 0.2523).

The calculation puts the formation energy from raw total energies at -2.06 eV per atom. For the density of states at the Fermi level, the calculation gives 0.442 states/eV/atom.

---

DFT (GGA-PBE) results for a relaxed structure of AlReSi.

The structure belongs to space group I4mm (No. 107); the cell edges are 3.193, 3.193 and 8.072 Å and the angles 90.00°, 90.00° and 90.00°. The inequivalent atoms are Al at (0.000, 0.000, 0.000), Re at (0.000, 0.000, 0.326) and Si at (0.000, 0.000, 0.674).

The calculation puts the formation energy from raw total energies at -0.48 eV per atom.